# Mg2NiHg

A crystal of Mg2NiHg relaxed with PBEsol (meta-GGA SCAN, Alexandria).

The structure in POSCAR format:
```
Mg2NiHg
1.0
-1.610 2.430 2.162
-1.985 -3.167 2.082
3.281 -0.259 2.734
Mg Hg Ni
2 1 1
Direct
0.000 0.000 0.500 Mg
0.000 0.500 0.000 Mg
0.500 0.500 0.500 Hg
0.500 0.000 0.000 Ni
```

Properties
Polymorph energy (0 for the lowest one), eV/atom: 0.011
Formation enthalpy at 0 K, eV/atom: -0.18
Crystal system: tetragonal
Size of the total moment, μB/cell: 0.0
Space-group type: P4/mmm, No. 123
E, eV for the cell shown: -95.02



# MnIrBr2

A crystal of MnIrBr2 relaxed with PBEsol (meta-GGA SCAN, Alexandria).

The structure in POSCAR format:
```
MnIrBr2
1.0
3.061 0.000 0.000
-1.531 2.836 0.000
0.000 0.000 8.389
Ir Br Mn
1 2 1
Direct
0.500 0.000 0.500 Ir
0.000 0.000 0.237 Br
0.000 0.000 0.763 Br
0.500 0.000 0.000 Mn
```

Properties
ΔE_f (raw), eV/atom: 0.678
Polymorph energy (0 for the lowest one), eV/atom: 0.730
Crystal system: orthorhombic
Size of the total moment, μB/cell: 3.3
Space-group type: Cmmm, No. 65
E, eV for the cell shown: -125.56



Question: The lowest E belongs to which entry?
Answer: MnIrBr2